Record 1
# CrS3F

CrS3F after structural relaxation (GGA+U, Alexandria).

Cell: 4.370 4.370 4.370 Å, 90.00 90.00 90.00°
Sites, in units of the cell vectors:
1 Cr 0.000 0.000 0.000
2 S 0.000 0.500 0.000
3 S 0.000 0.000 0.500
4 S 0.500 0.000 0.000
5 F 0.500 0.500 0.500

Computed properties:
offset from the most stable computed form = 0.000 eV/atom



Record 2
# CrS2F2

CrS2F2 after structural relaxation (GGA+U, Alexandria).

Cell: 6.187 6.187 4.006 Å, 90.00 90.00 90.00°
Sites, in units of the cell vectors:
1 Cr 0.000 0.000 0.000
2 Cr 0.500 0.500 0.000
3 S 0.391 0.891 0.000
4 S 0.891 0.609 0.000
5 S 0.609 0.109 0.000
6 S 0.109 0.391 0.000
7 F 0.248 0.748 0.500
8 F 0.748 0.752 0.500
9 F 0.752 0.252 0.500
10 F 0.252 0.248 0.500

Computed properties:
offset from the most stable computed form = 0.000 eV/atom



Record 3
# CrS2F

CrS2F after structural relaxation (GGA+U, Alexandria).

Cell: 5.769 5.769 6.439 Å, 63.39 63.39 90.00°
Sites, in units of the cell vectors:
1 Cr 0.000 0.000 0.000
2 Cr 0.750 0.250 0.500
3 S 0.669 0.125 0.250
4 S 0.081 0.625 0.250
5 S 0.375 0.331 0.750
6 S 0.875 0.919 0.750
7 F 0.500 0.500 0.000
8 F 0.250 0.750 0.500

Computed properties:
offset from the most stable computed form = 0.405 eV/atom



Record 4
# Cr2SF2

Cr2SF2 after structural relaxation (GGA+U, Alexandria).

Cell: 3.455 3.455 6.209 Å, 73.85 73.85 90.00°
Sites, in units of the cell vectors:
1 Cr 0.371 0.371 0.258
2 Cr 0.629 0.629 0.742
3 S 0.000 0.000 0.000
4 F 0.750 0.250 0.500
5 F 0.250 0.750 0.500

Computed properties:
offset from the most stable computed form = 0.186 eV/atom



Record 5
# CrS2F

CrS2F after structural relaxation (GGA+U, Alexandria).

Cell: 4.239 4.239 4.239 Å, 60.00 60.00 60.00°
Sites, in units of the cell vectors:
1 Cr 0.500 0.500 0.500
2 S 0.250 0.250 0.250
3 S 0.750 0.750 0.750
4 F 0.000 0.000 0.000

Computed properties:
offset from the most stable computed form = 0.345 eV/atom



Record 6
# TlCrSF2

TlCrSF2 after structural relaxation (GGA+U, Alexandria).

Cell: 4.077 4.077 5.331 Å, 90.00 90.00 90.00°
Sites, in units of the cell vectors:
1 Cr 0.000 0.000 0.000
2 Tl 0.500 0.500 0.500
3 S 0.000 0.000 0.500
4 F 0.000 0.500 0.000
5 F 0.500 0.000 0.000

Computed properties:
raw total energy = -25.70 eV/cell



Record 7
# CrSbF4

CrSbF4 after structural relaxation (GGA+U, Alexandria).

Cell: 6.560 4.021 8.205 Å, 90.00 90.00 90.00°
Sites, in units of the cell vectors:
1 Cr 0.408 0.376 0.000
2 Cr 0.908 0.624 0.500
3 Sb 0.983 0.659 0.000
4 Sb 0.483 0.341 0.500
5 F 0.392 0.878 0.000
6 F 0.744 0.345 0.000
7 F 0.422 0.378 0.758
8 F 0.922 0.622 0.742
9 F 0.244 0.655 0.500
10 F 0.892 0.122 0.500
11 F 0.922 0.622 0.258
12 F 0.422 0.378 0.242

Computed properties:
raw total energy = -63.93 eV/cell



Record 8
# Cr2SbF

Cr2SbF after structural relaxation (GGA+U, Alexandria).

Cell: 5.326 5.326 7.308 Å, 68.63 68.63 90.00°
Sites, in units of the cell vectors:
1 Sb 0.000 0.000 0.000
2 Sb 0.750 0.250 0.500
3 F 0.500 0.500 0.000
4 F 0.250 0.750 0.500
5 Cr 0.526 0.125 0.250
6 Cr 0.224 0.625 0.250
7 Cr 0.375 0.474 0.750
8 Cr 0.875 0.776 0.750

Computed properties:
offset from the most stable computed form = 0.014 eV/atom



Record 9
# CrSbF2

CrSbF2 after structural relaxation (GGA+U, Alexandria).

Cell: 9.389 9.389 9.389 Å, 20.06 20.06 20.06°
Sites, in units of the cell vectors:
1 Sb 0.000 0.000 0.000
2 F 0.868 0.868 0.868
3 F 0.132 0.132 0.132
4 Cr 0.500 0.500 0.500

Computed properties:
offset from the most stable computed form = 0.000 eV/atom



Record 10
# CrSbF5

CrSbF5 after structural relaxation (GGA+U, Alexandria).

Cell: 6.085 8.584 9.989 Å, 90.00 90.00 119.50°
Sites, in units of the cell vectors:
1 Cr 0.327 0.381 0.760
2 Cr 0.173 0.119 0.260
3 Cr 0.673 0.619 0.240
4 Cr 0.827 0.881 0.740
5 Sb 0.756 0.235 0.026
6 Sb 0.744 0.265 0.526
7 Sb 0.244 0.765 0.974
8 Sb 0.256 0.735 0.474
9 F 0.073 0.375 0.907
10 F 0.427 0.125 0.407
11 F 0.927 0.625 0.093
12 F 0.573 0.875 0.593
13 F 0.145 0.523 0.601
14 F 0.355 0.977 0.101
15 F 0.855 0.477 0.399
16 F 0.645 0.023 0.899
17 F 0.919 0.198 0.380
18 F 0.581 0.302 0.880
19 F 0.081 0.802 0.620
20 F 0.419 0.698 0.120
21 F 0.953 0.106 0.102
22 F 0.547 0.394 0.602
23 F 0.047 0.894 0.898
24 F 0.453 0.606 0.398
25 F 0.056 0.141 0.694
26 F 0.444 0.359 0.194
27 F 0.944 0.859 0.306
28 F 0.556 0.641 0.806

Computed properties:
offset from the most stable computed form = 0.000 eV/atom



Record 11
# CrSbF2

CrSbF2 after structural relaxation (GGA+U, Alexandria).

Cell: 6.691 6.691 5.772 Å, 54.57 54.57 90.00°
Sites, in units of the cell vectors:
1 Sb 0.000 0.000 0.000
2 Sb 0.750 0.250 0.500
3 F 0.491 0.125 0.250
4 F 0.259 0.625 0.250
5 F 0.375 0.509 0.750
6 F 0.875 0.741 0.750
7 Cr 0.500 0.500 0.000
8 Cr 0.250 0.750 0.500

Computed properties:
offset from the most stable computed form = 0.225 eV/atom



Record 12
# CrSbF5

CrSbF5 after structural relaxation (GGA+U, Alexandria).

Cell: 5.720 5.720 8.310 Å, 69.89 69.89 73.39°
Sites, in units of the cell vectors:
1 Cr 0.530 0.470 0.250
2 Cr 0.470 0.530 0.750
3 Sb 0.000 0.000 0.000
4 Sb 0.000 0.000 0.500
5 F 0.780 0.701 0.146
6 F 0.284 0.676 0.441
7 F 0.701 0.780 0.646
8 F 0.853 0.147 0.250
9 F 0.324 0.716 0.059
10 F 0.676 0.284 0.941
11 F 0.147 0.853 0.750
12 F 0.299 0.220 0.354
13 F 0.716 0.324 0.559
14 F 0.220 0.299 0.854

Computed properties:
offset from the most stable computed form = 0.061 eV/atom



Record 13
# CrSbF2

CrSbF2 after structural relaxation (GGA+U, Alexandria).

Cell: 4.414 4.414 4.414 Å, 60.00 60.00 60.00°
Sites, in units of the cell vectors:
1 Sb 0.500 0.500 0.500
2 F 0.250 0.250 0.250
3 F 0.750 0.750 0.750
4 Cr 0.000 0.000 0.000

Computed properties:
offset from the most stable computed form = 1.598 eV/atom



Record 14
# Cr2SbF

Cr2SbF after structural relaxation (GGA+U, Alexandria).

Cell: 4.665 4.665 4.665 Å, 60.00 60.00 60.00°
Sites, in units of the cell vectors:
1 Sb 0.500 0.500 0.500
2 F 0.000 0.000 0.000
3 Cr 0.250 0.250 0.250
4 Cr 0.750 0.750 0.750

Computed properties:
offset from the most stable computed form = 0.000 eV/atom



Record 15
# TlCrSbF6

TlCrSbF6 after structural relaxation (GGA+U, Alexandria).

Cell: 5.771 6.089 5.237 Å, 89.65 90.18 65.22°
Sites, in units of the cell vectors:
1 Tl 0.013 0.978 0.041
2 Cr 0.687 0.661 0.491
3 Sb 0.334 0.318 0.550
4 F 0.986 0.420 0.287
5 F 0.414 0.927 0.691
6 F 0.680 0.299 0.693
7 F 0.960 0.726 0.660
8 F 0.410 0.571 0.325
9 F 0.515 0.099 0.262

Computed properties:
raw total energy = -45.89 eV/cell



Record 16
# Sc3CrF

Sc3CrF after structural relaxation (GGA+U, Alexandria).

Cell: 4.511 4.511 4.511 Å, 90.00 90.00 90.00°
Sites, in units of the cell vectors:
1 Sc 0.000 0.500 0.000
2 Sc 0.000 0.000 0.500
3 Sc 0.500 0.000 0.000
4 Cr 0.500 0.500 0.500
5 F 0.000 0.000 0.000

Computed properties:
offset from the most stable computed form = 0.000 eV/atom



Record 17
# ScCrF5

ScCrF5 after structural relaxation (GGA+U, Alexandria).

Cell: 5.509 8.412 10.189 Å, 90.00 90.00 113.26°
Sites, in units of the cell vectors:
1 Sc 0.287 0.364 0.756
2 Sc 0.213 0.136 0.256
3 Sc 0.713 0.636 0.244
4 Sc 0.787 0.864 0.744
5 Cr 0.726 0.223 0.002
6 Cr 0.774 0.277 0.502
7 Cr 0.274 0.777 0.998
8 Cr 0.226 0.723 0.498
9 F 0.033 0.381 0.894
10 F 0.467 0.119 0.394
11 F 0.967 0.619 0.106
12 F 0.533 0.881 0.606
13 F 0.089 0.438 0.611
14 F 0.411 0.062 0.111
15 F 0.911 0.562 0.389
16 F 0.589 0.938 0.889
17 F 0.024 0.213 0.393
18 F 0.476 0.287 0.893
19 F 0.976 0.787 0.607
20 F 0.524 0.713 0.107
21 F 0.970 0.165 0.119
22 F 0.530 0.335 0.619
23 F 0.030 0.835 0.881
24 F 0.470 0.665 0.381
25 F 0.011 0.119 0.717
26 F 0.489 0.381 0.217
27 F 0.989 0.881 0.283
28 F 0.511 0.619 0.783

Computed properties:
raw total energy = -186.92 eV/cell



Record 18
# ScCrSnF6

ScCrSnF6 after structural relaxation (GGA+U, Alexandria).

Cell: 5.762 5.762 10.283 Å, 90.00 90.00 120.00°
Sites, in units of the cell vectors:
1 Sc 0.667 0.333 0.250
2 Sc 0.333 0.667 0.750
3 Cr 0.333 0.667 0.250
4 Cr 0.667 0.333 0.750
5 Sn 0.000 0.000 0.000
6 Sn 0.000 0.000 0.500
7 F 0.678 0.633 0.138
8 F 0.955 0.322 0.138
9 F 0.322 0.955 0.638
10 F 0.045 0.678 0.862
11 F 0.367 0.322 0.362
12 F 0.955 0.633 0.362
13 F 0.633 0.955 0.862
14 F 0.678 0.045 0.362
15 F 0.045 0.367 0.638
16 F 0.367 0.045 0.138
17 F 0.633 0.678 0.638
18 F 0.322 0.367 0.862

Computed properties:
raw total energy = -107.87 eV/cell



Record 19
# Sc2TiCrF

Sc2TiCrF after structural relaxation (GGA+U, Alexandria).

Cell: 5.176 4.446 5.176 Å, 90.00 90.00 90.00°
Sites, in units of the cell vectors:
1 Sc 0.000 0.000 0.500
2 Sc 0.500 0.000 0.000
3 Cr 0.000 0.000 0.000
4 F 0.500 0.500 0.500
5 Ti 0.000 0.500 0.000

Computed properties:
raw total energy = -27.36 eV/cell



Record 20
# ScTlCrF6

ScTlCrF6 after structural relaxation (GGA+U, Alexandria).

Cell: 5.823 5.644 5.940 Å, 89.36 88.76 58.95°
Sites, in units of the cell vectors:
1 Sc 0.328 0.343 0.500
2 Tl 0.998 0.004 0.000
3 Cr 0.663 0.673 0.500
4 F 0.005 0.382 0.330
5 F 0.378 0.002 0.684
6 F 0.614 0.381 0.669
7 F 0.039 0.606 0.710
8 F 0.355 0.606 0.290
9 F 0.620 0.002 0.316

Computed properties:
raw total energy = -54.58 eV/cell